Below is a geometry-optimized MnTe structure, with properties calculated at the PBEsol level.

Calculated values
- SG: No. 8
- Calculated density: 7.03 Mg/m³
- E: -39.32 eV per cell
- E_form (uncorrected): 18 kJ/mol of formula units
- Total moment: 5.439 Bohr magnetons per cell
- DOS(E_F): 1.6 states/eV/f.u.

Cell: 6.685 6.685 6.105 Å, 114.77 114.77 31.78°
Element x y z (fractional)
Mn 0.000 0.000 0.000
Mn 0.356 0.356 0.866
Mn 0.503 0.503 0.712
Te 0.166 0.166 0.895
Te 0.515 0.515 0.298
Te 0.832 0.832 0.554

=====

Below is a geometry-optimized Mn2Te structure, with properties calculated at the PBEsol level.

Calculated values
- SG: No. 164
- Calculated density: 8.57 Mg/m³
- E: -21.44 eV per cell
- E_form (uncorrected): 156 kJ/mol of formula units
- Total moment: 0.000 Bohr magnetons per cell
- DOS(E_F): 1.8 states/eV/f.u.

Cell: 3.597 3.597 4.104 Å, 90.00 90.00 120.00°
Element x y z (fractional)
Mn 0.333 0.667 0.427
Mn 0.667 0.333 0.573
Te 0.000 0.000 0.000